1.
16
Lattice="6.888 0.000 0.000 -3.444 6.480 -2.475 0.000 0.034 9.630" Properties=species:S:1:pos:R:3 comment="PBE-GGA Er3S4Br, optimized geometry" magmom_total_mub_per_cell=0.000 e_form_raw_ev_per_atom=-1.9902 pbc="T T T"
S 1.099 1.391 8.454
S 5.789 1.374 3.639
S 2.337 2.944 5.150
S 4.551 2.927 0.335
S -1.340 3.890 6.607
S 1.340 3.873 1.792
S -2.263 4.933 3.211
S 2.263 4.916 -1.604
Br 1.077 6.414 4.594
Br -1.077 6.396 -0.221
Er 3.350 2.481 7.632
Er 3.537 2.464 2.817
Er -0.038 3.682 4.179
Er 0.038 3.664 -0.636
Er 3.584 5.441 5.641
Er 3.304 5.424 0.826

2.
4
Lattice="-3.585 3.892 -1.154 -2.036 -1.371 1.701 1.708 2.879 4.405" Properties=species:S:1:pos:R:3 comment="PBE-GGA Tl2HgW, optimized geometry" magmom_total_mub_per_cell=0.000 e_form_ev_per_atom=0.907 polymorph_energy_mev_per_atom=191 pbc="T T T"
Hg -2.038 3.078 4.003
Tl -0.023 -0.006 0.049
Tl -0.141 0.760 3.004
W -1.874 2.323 0.949

3.
13
Lattice="4.815 0.000 0.000 0.000 4.876 0.000 0.000 0.000 16.681" Properties=species:S:1:pos:R:3 comment="PBE-GGA Na4Tl8Cd, optimized geometry" magmom_total_mub_per_cell=0.000 e_form_ev_per_atom=-0.053 pbc="T T T"
Na 0.000 0.000 1.022
Na 0.000 2.438 10.324
Na 2.407 2.438 6.453
Na 2.407 0.000 15.148
Tl 0.000 0.000 8.179
Tl 0.000 2.438 15.178
Tl 2.407 2.438 0.979
Tl 2.407 0.000 10.295
Tl 0.000 2.438 3.391
Tl 0.000 0.000 12.778
Tl 2.407 0.000 3.371
Tl 2.407 2.438 12.705
Cd 0.000 0.000 5.316

4.
18
Lattice="7.714 -0.158 -0.153 1.980 8.936 -0.162 1.980 0.127 8.937" Properties=species:S:1:pos:R:3 comment="PBE-GGA Ga2SbTe6, optimized geometry" magmom_total_mub_per_cell=0.000 e_form_raw_ev_per_atom=-0.0930 pbc="T T T"
Ga 4.144 5.386 6.751
Ga 3.672 2.063 3.534
Ga 7.529 3.520 1.871
Ga 8.001 6.843 5.088
Sb 3.908 0.910 8.050
Sb 7.765 7.996 0.572
Te 5.508 5.908 4.451
Te 2.309 4.344 2.938
Te 6.166 2.998 4.170
Te 9.365 4.561 5.684
Te 8.967 8.440 3.244
Te 6.563 5.311 0.215
Te 2.706 0.466 5.378
Te 5.110 3.594 8.407
Te 4.667 7.138 8.628
Te 3.150 0.130 1.844
Te 7.007 1.768 -0.007
Te 8.524 8.776 6.778

5.
10
Lattice="-0.809 4.003 0.398 -3.758 1.235 1.091 1.452 1.275 11.277" Properties=species:S:1:pos:R:3 comment="PBE-GGA CaBi2F7, optimized geometry" magmom_total_mub_per_cell=0.000 e_form_raw_ev_per_atom=-2.6224 pbc="T T T"
Ca -1.558 3.257 6.383
Bi 0.849 1.371 9.090
Bi -3.964 5.143 3.677
F -2.055 4.840 10.595
F -2.182 3.355 4.122
F 0.000 0.000 0.000
F -1.061 1.673 2.171
F 0.159 1.480 6.590
F -3.274 5.033 6.176
F -0.934 3.158 8.644

6.
4
Lattice="8.483 0.002 0.007 -4.750 4.189 -0.022 -1.017 0.892 2.566" Properties=species:S:1:pos:R:3 comment="PBE-GGA SiSb2P, optimized geometry" magmom_total_mub_per_cell=0.000 polymorph_energy_mev_per_atom=249 e_form_raw_ev_per_atom=0.3199 pbc="T T T"
P 1.867 2.095 -0.008
Sb 0.000 0.000 0.000
Sb 3.733 0.447 1.286
Si -2.883 2.540 1.272

7.
12
Lattice="-1.048 0.302 3.445 -5.032 -2.333 -1.326 9.559 -16.102 4.321" Properties=species:S:1:pos:R:3 comment="PBE-GGA La2Dy7Er3, optimized geometry" magmom_total_mub_per_cell=0.000 e_form_ev_per_atom=0.124 polymorph_energy_mev_per_atom=42 pbc="T T T"
La 2.449 -13.342 1.916
La 2.077 -5.094 1.079
Dy 5.803 -14.230 3.014
Dy 1.277 -10.468 1.307
Dy 0.000 0.000 0.000
Dy -1.277 -4.205 -0.019
Dy 0.463 -2.269 2.235
Dy 3.016 -15.864 4.205
Dy 3.249 -7.968 1.688
Er -3.040 -1.015 1.060
Er -0.399 -7.491 2.431
Er 3.878 -10.642 4.009

8.
4
Lattice="-0.183 -2.339 -3.919 3.751 -2.041 -1.619 0.319 -4.556 0.043" Properties=species:S:1:pos:R:3 comment="PBE-GGA Tc2AgHg, optimized geometry" magmom_total_mub_per_cell=0.007 e_form_ev_per_atom=0.708 pbc="T T T"
Ag 1.943 -4.468 -2.747
Hg 0.972 -2.234 -1.374
Tc 0.000 0.000 0.000
Tc 2.915 -6.702 -4.121